Arrangement A

First-principles (GGA-PBE) data for crystalline ErPOsO at its relaxed geometry, as listed in OQMD via LeMat-Bulk.

POSCAR file:
```
ErPOsO
1.0
4.305 0.000 0.000
0.000 4.305 0.000
0.000 0.000 6.404
Er P Os O
2 2 2 2
Direct
0.250 0.750 0.000
0.750 0.250 0.000
0.250 0.250 0.275
0.750 0.750 0.725
0.250 0.250 0.638
0.750 0.750 0.362
0.250 0.750 0.500
0.750 0.250 0.500
```

Output
The total magnetization is 0.001 μB per atom. The space-group type is P4/nmm, No. 129.

Arrangement B

First-principles (GGA-PBE) data for crystalline ErPOsO at its relaxed geometry, as listed in OQMD via LeMat-Bulk.

POSCAR file:
```
ErPOsO
1.0
3.979 0.000 0.000
0.000 3.979 0.000
0.000 0.000 7.811
Er P Os O
2 2 2 2
Direct
0.250 0.250 0.132
0.750 0.750 0.868
0.250 0.250 0.659
0.750 0.750 0.341
0.250 0.750 0.500
0.750 0.250 0.500
0.250 0.750 0.000
0.750 0.250 0.000
```

Output
The total magnetization is 0.000 μB per atom. The space-group type is P4/nmm, No. 129.

Calculated relative energies: arrangement A 1935; arrangement B 0, given in meV/atom

Arrangement A

First-principles (GGA-PBE) data for crystalline ErPOsO at its relaxed geometry, as listed in OQMD via LeMat-Bulk.

POSCAR file:
```
ErPOsO
1.0
3.236 0.000 0.000
0.000 7.704 0.000
0.000 0.000 5.154
Er P Os O
2 2 2 2
Direct
0.000 0.210 0.000
0.000 0.790 0.500
0.000 0.417 0.498
0.000 0.583 0.998
0.500 0.212 0.503
0.500 0.788 0.003
0.500 0.045 0.853
0.500 0.955 0.353
```

Output
The total magnetization is 0.000 μB per atom. The space-group type is Pmc2_1, No. 26.

Arrangement B

First-principles (GGA-PBE) data for crystalline ErPOsO at its relaxed geometry, as listed in OQMD via LeMat-Bulk.

POSCAR file:
```
ErPOsO
1.0
4.414 0.000 0.000
0.000 4.301 0.000
0.000 0.000 6.262
Er P Os O
2 2 2 2
Direct
0.000 0.198 0.000
0.000 0.802 0.500
0.500 0.163 0.697
0.500 0.837 0.197
0.500 0.338 0.347
0.500 0.662 0.847
0.000 0.316 0.347
0.000 0.684 0.847
```

Output
The total magnetization is 0.001 μB per atom. The space-group type is Pmc2_1, No. 26.

Calculated relative energies: arrangement A 141; arrangement B 0, given in meV/atom

Arrangement A

First-principles (GGA-PBE) data for crystalline ErPaPO at its relaxed geometry, as listed in OQMD via LeMat-Bulk.

POSCAR file:
```
ErPaPO
1.0
4.129 0.000 0.000
0.000 7.545 0.000
0.000 0.000 5.806
Er Pa P O
2 2 2 2
Direct
0.000 0.112 0.000
0.000 0.888 0.500
0.500 0.300 0.456
0.500 0.700 0.956
0.500 0.338 0.957
0.500 0.662 0.457
0.000 0.171 0.388
0.000 0.829 0.888
```

Output
The total magnetization is 0.255 μB per atom. The space-group type is Pmc2_1, No. 26.

Arrangement B

First-principles (GGA-PBE) data for crystalline ErPaPO at its relaxed geometry, as listed in OQMD via LeMat-Bulk.

POSCAR file:
```
ErPaPO
1.0
4.110 0.000 0.000
0.000 7.856 0.000
0.000 0.000 5.431
Er Pa P O
2 2 2 2
Direct
0.000 0.209 0.000
0.000 0.791 0.500
0.500 0.374 0.500
0.500 0.626 0.000
0.000 0.140 0.500
0.000 0.860 0.000
0.500 0.327 0.998
0.500 0.673 0.498
```

Output
The total magnetization is 0.284 μB per atom. The space-group type is Pmc2_1, No. 26.

Arrangement C

First-principles (GGA-PBE) data for crystalline ErPaPO at its relaxed geometry, as listed in OQMD via LeMat-Bulk.

POSCAR file:
```
ErPaPO
1.0
4.153 0.000 0.000
0.000 4.153 0.000
0.000 0.000 8.890
Er Pa P O
2 2 2 2
Direct
0.250 0.750 0.000
0.750 0.250 0.000
0.250 0.250 0.360
0.750 0.750 0.640
0.250 0.250 0.786
0.750 0.750 0.214
0.250 0.750 0.500
0.750 0.250 0.500
```

Output
The total magnetization is 0.254 μB per atom. The space-group type is P4/nmm, No. 129.

Arrangement D

First-principles (GGA-PBE) data for crystalline ErPaPO at its relaxed geometry, as listed in OQMD via LeMat-Bulk.

POSCAR file:
```
ErPaPO
1.0
4.177 0.000 0.000
0.000 4.177 0.000
0.000 0.000 8.965
Er Pa P O
2 2 2 2
Direct
0.250 0.250 0.103
0.750 0.750 0.897
0.250 0.750 0.500
0.750 0.250 0.500
0.250 0.250 0.719
0.750 0.750 0.281
0.250 0.750 0.000
0.750 0.250 0.000
```

Output
The total magnetization is 0.011 μB per atom. The space-group type is P4/nmm, No. 129.

Calculated relative energies: arrangement A 43; arrangement B 0; arrangement C 19; arrangement D 84, given in meV/atom

Arrangement A

First-principles (GGA-PBE) data for crystalline ErPPdO at its relaxed geometry, as listed in OQMD via LeMat-Bulk.

POSCAR file:
```
ErPPdO
1.0
5.569 0.000 0.000
0.000 5.569 0.000
0.000 0.000 4.489
Er P Pd O
2 2 2 2
Direct
0.250 0.750 0.000
0.750 0.250 0.000
0.250 0.250 0.004
0.750 0.750 0.996
0.250 0.250 0.504
0.750 0.750 0.496
0.250 0.750 0.500
0.750 0.250 0.500
```

Output
The total magnetization is 0.001 μB per atom. The space-group type is P4/nmm, No. 129.

Arrangement B

First-principles (GGA-PBE) data for crystalline ErPPdO at its relaxed geometry, as listed in OQMD via LeMat-Bulk.

POSCAR file:
```
ErPPdO
1.0
4.720 0.000 0.000
0.000 4.467 0.000
0.000 0.000 5.882
Er P Pd O
2 2 2 2
Direct
0.000 0.202 0.000
0.000 0.798 0.500
0.500 0.120 0.709
0.500 0.880 0.209
0.500 0.383 0.353
0.500 0.617 0.853
0.000 0.338 0.357
0.000 0.662 0.857
```

Output
The total magnetization is 0.001 μB per atom. The space-group type is Pmc2_1, No. 26.

Arrangement C

First-principles (GGA-PBE) data for crystalline ErPPdO at its relaxed geometry, as listed in OQMD via LeMat-Bulk.

POSCAR file:
```
ErPPdO
1.0
4.024 0.000 0.000
0.000 4.024 0.000
0.000 0.000 7.765
Er P Pd O
2 2 2 2
Direct
0.250 0.250 0.132
0.750 0.750 0.868
0.250 0.250 0.668
0.750 0.750 0.332
0.250 0.750 0.500
0.750 0.250 0.500
0.250 0.750 0.000
0.750 0.250 0.000
```

Output
The total magnetization is 0.000 μB per atom. The space-group type is P4/nmm, No. 129.

Calculated relative energies: arrangement A 749; arrangement B 378; arrangement C 0, given in meV/atom

Arrangement A

First-principles (GGA-PBE) data for crystalline PmErPO at its relaxed geometry, as listed in OQMD via LeMat-Bulk.

POSCAR file:
```
PmErPO
1.0
4.343 0.000 0.000
0.000 4.343 0.000
0.000 0.000 8.755
Pm Er P O
2 2 2 2
Direct
0.250 0.250 0.111
0.750 0.750 0.889
0.250 0.750 0.500
0.750 0.250 0.500
0.250 0.250 0.687
0.750 0.750 0.313
0.250 0.750 0.000
0.750 0.250 0.000
```

Output
The total magnetization is 0.001 μB per atom. The space-group type is P4/nmm, No. 129.

Arrangement B

First-principles (GGA-PBE) data for crystalline PmErPO at its relaxed geometry, as listed in OQMD via LeMat-Bulk.

POSCAR file:
```
PmErPO
1.0
4.268 0.000 0.000
0.000 7.396 0.000
0.000 0.000 5.888
Pm Er P O
2 2 2 2
Direct
0.000 0.198 0.000
0.000 0.802 0.500
0.500 0.382 0.570
0.500 0.618 0.070
0.000 0.179 0.495
0.000 0.821 0.995
0.500 0.339 0.939
0.500 0.661 0.439
```

Output
The total magnetization is 0.004 μB per atom. The space-group type is Pmc2_1, No. 26.

Calculated relative energies: arrangement A 79; arrangement B 0, given in meV/atom

Arrangement A

First-principles (GGA-PBE) data for crystalline ErPPtO at its relaxed geometry, as listed in OQMD via LeMat-Bulk.

POSCAR file:
```
ErPPtO
1.0
4.505 0.000 0.000
0.000 3.996 0.000
0.000 0.000 6.925
Er P Pt O
2 2 2 2
Direct
0.000 0.249 0.000
0.000 0.751 0.500
0.500 0.252 0.666
0.500 0.748 0.166
0.500 0.249 0.333
0.500 0.751 0.833
0.000 0.252 0.666
0.000 0.748 0.166
```

Output
The total magnetization is 0.002 μB per atom. The space-group type is Pmc2_1, No. 26.

Arrangement B

First-principles (GGA-PBE) data for crystalline ErPPtO at its relaxed geometry, as listed in OQMD via LeMat-Bulk.

POSCAR file:
```
ErPPtO
1.0
3.497 0.000 0.000
0.000 7.499 0.000
0.000 0.000 5.421
Er P Pt O
2 2 2 2
Direct
0.000 0.207 0.000
0.000 0.793 0.500
0.000 0.423 0.505
0.000 0.577 0.005
0.500 0.231 0.482
0.500 0.769 0.982
0.500 0.063 0.925
0.500 0.937 0.425
```

Output
The total magnetization is 0.000 μB per atom. The space-group type is Pmc2_1, No. 26.

Arrangement C

First-principles (GGA-PBE) data for crystalline ErPPtO at its relaxed geometry, as listed in OQMD via LeMat-Bulk.

POSCAR file:
```
ErPPtO
1.0
5.652 0.000 0.000
0.000 5.652 0.000
0.000 0.000 4.446
Er P Pt O
2 2 2 2
Direct
0.250 0.750 0.000
0.750 0.250 0.000
0.250 0.250 0.002
0.750 0.750 0.998
0.250 0.250 0.502
0.750 0.750 0.498
0.250 0.750 0.500
0.750 0.250 0.500
```

Output
The total magnetization is 0.000 μB per atom. The space-group type is P4/nmm, No. 129.

Arrangement D

First-principles (GGA-PBE) data for crystalline ErPPtO at its relaxed geometry, as listed in OQMD via LeMat-Bulk.

POSCAR file:
```
ErPPtO
1.0
4.080 0.000 0.000
0.000 4.080 0.000
0.000 0.000 7.628
Er P Pt O
2 2 2 2
Direct
0.250 0.250 0.129
0.750 0.750 0.871
0.250 0.250 0.668
0.750 0.750 0.332
0.250 0.750 0.500
0.750 0.250 0.500
0.250 0.750 0.000
0.750 0.250 0.000
```

Output
The total magnetization is 0.000 μB per atom. The space-group type is P4/nmm, No. 129.

Calculated relative energies: arrangement A 275; arrangement B 451; arrangement C 836; arrangement D 0, given in meV/atom

Arrangement A

First-principles (GGA-PBE) data for crystalline RbErPO at its relaxed geometry, as listed in OQMD via LeMat-Bulk.

POSCAR file:
```
RbErPO
1.0
5.731 0.000 0.000
0.000 5.731 0.000
0.000 0.000 5.156
Rb Er P O
2 2 2 2
Direct
0.250 0.250 0.006
0.750 0.750 0.994
0.250 0.750 0.500
0.750 0.250 0.500
0.250 0.250 0.506
0.750 0.750 0.494
0.250 0.750 0.000
0.750 0.250 0.000
```

Output
The total magnetization is 0.001 μB per atom. The space-group type is P4/nmm, No. 129.

Arrangement B

First-principles (GGA-PBE) data for crystalline RbErPO at its relaxed geometry, as listed in OQMD via LeMat-Bulk.

POSCAR file:
```
RbErPO
1.0
4.084 0.000 0.000
0.000 4.084 0.000
0.000 0.000 10.569
Rb Er P O
2 2 2 2
Direct
0.250 0.750 0.000
0.750 0.250 0.000
0.250 0.250 0.409
0.750 0.750 0.591
0.250 0.250 0.762
0.750 0.750 0.238
0.250 0.750 0.500
0.750 0.250 0.500
```

Output
The total magnetization is 0.001 μB per atom. The space-group type is P4/nmm, No. 129.

Arrangement C

First-principles (GGA-PBE) data for crystalline RbErPO at its relaxed geometry, as listed in OQMD via LeMat-Bulk.

POSCAR file:
```
RbErPO
1.0
4.724 0.000 0.000
0.000 7.999 0.000
0.000 0.000 6.642
Rb Er P O
2 2 2 2
Direct
0.000 0.214 0.000
0.000 0.786 0.500
0.500 0.373 0.569
0.500 0.627 0.069
0.000 0.209 0.492
0.000 0.791 0.992
0.500 0.422 0.878
0.500 0.578 0.378
```

Output
The total magnetization is 0.250 μB per atom. The space-group type is Pmc2_1, No. 26.

Calculated relative energies: arrangement A 530; arrangement B 175; arrangement C 0, given in meV/atom

Arrangement A

First-principles (GGA-PBE) data for crystalline ErRePO at its relaxed geometry, as listed in OQMD via LeMat-Bulk.

POSCAR file:
```
ErRePO
1.0
4.351 0.000 0.000
0.000 4.419 0.000
0.000 0.000 6.134
Er Re P O
2 2 2 2
Direct
0.000 0.188 0.000
0.000 0.812 0.500
0.500 0.361 0.349
0.500 0.639 0.849
0.500 0.145 0.702
0.500 0.855 0.202
0.000 0.350 0.345
0.000 0.650 0.845
```

Output
The total magnetization is 0.002 μB per atom. The space-group type is Pmc2_1, No. 26.

Arrangement B

First-principles (GGA-PBE) data for crystalline ErRePO at its relaxed geometry, as listed in OQMD via LeMat-Bulk.

POSCAR file:
```
ErRePO
1.0
3.901 0.000 0.000
0.000 3.901 0.000
0.000 0.000 8.214
Er Re P O
2 2 2 2
Direct
0.250 0.250 0.130
0.750 0.750 0.870
0.250 0.750 0.500
0.750 0.250 0.500
0.250 0.250 0.672
0.750 0.750 0.328
0.250 0.750 0.000
0.750 0.250 0.000
```

Output
The total magnetization is 0.000 μB per atom. The space-group type is P4/nmm, No. 129.

Arrangement C

First-principles (GGA-PBE) data for crystalline ErRePO at its relaxed geometry, as listed in OQMD via LeMat-Bulk.

POSCAR file:
```
ErRePO
1.0
4.301 0.000 0.000
0.000 4.301 0.000
0.000 0.000 6.444
Er Re P O
2 2 2 2
Direct
0.250 0.750 0.000
0.750 0.250 0.000
0.250 0.250 0.369
0.750 0.750 0.631
0.250 0.250 0.731
0.750 0.750 0.269
0.250 0.750 0.500
0.750 0.250 0.500
```

Output
The total magnetization is 0.009 μB per atom. The space-group type is P4/nmm, No. 129.

Arrangement D

First-principles (GGA-PBE) data for crystalline ErRePO at its relaxed geometry, as listed in OQMD via LeMat-Bulk.

POSCAR file:
```
ErRePO
1.0
4.038 0.000 0.000
0.000 5.988 0.000
0.000 0.000 5.470
Er Re P O
2 2 2 2
Direct
0.000 0.167 0.000
0.000 0.833 0.500
0.500 0.453 0.751
0.500 0.547 0.251
0.000 0.320 0.513
0.000 0.680 0.013
0.500 0.246 0.062
0.500 0.754 0.562
```

Output
The total magnetization is 0.001 μB per atom. The space-group type is Pmc2_1, No. 26.

Calculated relative energies: arrangement A 466; arrangement B 0; arrangement C 1735; arrangement D 686, given in meV/atom